Entry 1:
{"formula": "BiSF2", "functional": "meta-GGA SCAN", "state": "single point on PBEsol structure", "lattice": [[0.0000, 3.0682, 3.0682], [3.0682, 0.0000, 3.0682], [3.0682, 3.0682, 0.0000]], "species": ["Bi", "S", "F", "F"], "frac_coords": [[0.0000, 0.0000, 0.0000], [0.5000, 0.5000, 0.5000], [0.2500, 0.2500, 0.2500], [0.7500, 0.7500, 0.7500]], "magnetic_moment_mub_per_cell": 1.002, "e_form_raw_mev_per_atom": -860}


Entry 2:
{"formula": "GeBRh2Au", "functional": "meta-GGA SCAN", "state": "single point on PBEsol structure", "lattice": [[4.8983, 0.0000, 0.0000], [0.0000, 4.8983, 0.0000], [0.0000, 0.0000, 4.5289]], "species": ["Ge", "B", "Rh", "Rh", "Au"], "frac_coords": [[0.0000, 0.0000, 0.0000], [0.5000, 0.5000, 0.0000], [0.0000, 0.5000, 0.5000], [0.5000, 0.0000, 0.5000], [0.0000, 0.0000, 0.5000]], "magnetic_moment_mub_per_cell": 0.001, "delta_e_f_mev_per_atom": 2170.1}


Entry 3:
{"formula": "YMg3", "functional": "meta-GGA SCAN", "state": "single point on PBEsol structure", "lattice": [[6.5659, 0.0000, 0.0000], [-3.2830, 5.6862, 0.0000], [0.0000, 0.0000, 10.5745]], "species": ["Y", "Y", "Y", "Y", "Mg", "Mg", "Mg", "Mg", "Mg", "Mg", "Mg", "Mg", "Mg", "Mg", "Mg", "Mg"], "frac_coords": [[0.0000, 0.0000, 0.0000], [0.0000, 0.0000, 0.5000], [0.3333, 0.6667, 0.2500], [0.6667, 0.3333, 0.7500], [0.0000, 0.5000, 0.0000], [0.0000, 0.5000, 0.5000], [0.1693, 0.3385, 0.7500], [0.1693, 0.8307, 0.7500], [0.3385, 0.1693, 0.2500], [0.5000, 0.0000, 0.0000], [0.5000, 0.0000, 0.5000], [0.5000, 0.5000, 0.0000], [0.5000, 0.5000, 0.5000], [0.6615, 0.8307, 0.7500], [0.8307, 0.1693, 0.2500], [0.8307, 0.6615, 0.2500]], "magnetic_moment_mub_per_cell": 1.171, "delta_e_f_mev_per_atom": -85.3}


Entry 4:
{"formula": "HfNiGe", "functional": "meta-GGA SCAN", "state": "single point on PBEsol structure", "lattice": [[6.4384, 0.0000, 0.0000], [0.0000, 3.8242, 0.0000], [0.0000, 0.0000, 7.2318]], "species": ["Hf", "Hf", "Hf", "Hf", "Ni", "Ni", "Ni", "Ni", "Ge", "Ge", "Ge", "Ge"], "frac_coords": [[0.0190, 0.2500, 0.1894], [0.4810, 0.7500, 0.6894], [0.5190, 0.2500, 0.3106], [0.9810, 0.7500, 0.8106], [0.1399, 0.2500, 0.5621], [0.3601, 0.7500, 0.0621], [0.6399, 0.2500, 0.9379], [0.8601, 0.7500, 0.4379], [0.2348, 0.7500, 0.3842], [0.2652, 0.2500, 0.8842], [0.7348, 0.7500, 0.1158], [0.7652, 0.2500, 0.6158]], "magnetic_moment_mub_per_cell": 0.000, "delta_e_f_mev_per_atom": -817.2}


Entry 5:
{"formula": "NaCuCl2", "functional": "meta-GGA SCAN", "state": "single point on PBEsol structure", "lattice": [[-3.0380, 3.0380, 4.8989], [3.0380, -3.0380, 4.8989], [3.0380, 3.0380, -4.8989]], "species": ["Na", "Na", "Cu", "Cu", "Cl", "Cl", "Cl", "Cl"], "frac_coords": [[0.0000, 0.0000, 0.0000], [0.7500, 0.2500, 0.5000], [0.2500, 0.7500, 0.5000], [0.5000, 0.5000, 0.0000], [0.1770, 0.6250, 0.0520], [0.3750, 0.4270, 0.5520], [0.5730, 0.1250, 0.9480], [0.8750, 0.8230, 0.4480]], "e_above_lowest_polymorph_mev_per_atom": 24, "magnetic_moment_mub_per_cell": 0.000, "e_form_raw_mev_per_atom": -1188}


Entry 6:
{"formula": "TiZnFe3", "functional": "meta-GGA SCAN", "state": "single point on PBEsol structure", "lattice": [[4.2889, 0.0000, 0.0000], [0.0000, 4.2889, 0.0000], [0.0000, 0.0000, 4.2889]], "species": ["Ti", "Zn", "Fe", "Fe", "Fe"], "frac_coords": [[0.0000, 0.0000, 0.0000], [0.5000, 0.5000, 0.5000], [0.0000, 0.5000, 0.5000], [0.5000, 0.0000, 0.5000], [0.5000, 0.5000, 0.0000]], "magnetic_moment_mub_per_cell": 6.785, "delta_e_f_mev_per_atom": 873.0}


Entry 7:
{"formula": "TcPdSe2O", "functional": "meta-GGA SCAN", "state": "single point on PBEsol structure", "lattice": [[4.4054, 0.0000, 0.0000], [0.0000, 4.4054, 0.0000], [0.0000, 0.0000, 3.9777]], "species": ["Tc", "Pd", "Se", "Se", "O"], "frac_coords": [[0.0000, 0.0000, 0.0000], [0.5000, 0.5000, 0.0000], [0.0000, 0.5000, 0.5000], [0.5000, 0.0000, 0.5000], [0.5000, 0.5000, 0.5000]], "magnetic_moment_mub_per_cell": 2.919, "e_form_raw_mev_per_atom": 654}


Entry 8:
{"formula": "Rb2AgI", "functional": "meta-GGA SCAN", "state": "single point on PBEsol structure", "lattice": [[-4.6146, 4.6146, 4.7644], [4.6146, -4.6146, 4.7644], [4.6146, 4.6146, -4.7644]], "species": ["Rb", "Rb", "Rb", "Rb", "Ag", "Ag", "I", "I"], "frac_coords": [[0.1180, 0.1250, 0.4930], [0.3750, 0.8820, 0.0070], [0.6320, 0.6250, 0.5070], [0.8750, 0.3680, 0.9930], [0.0000, 0.0000, 0.0000], [0.7500, 0.2500, 0.5000], [0.2500, 0.7500, 0.5000], [0.5000, 0.5000, 0.0000]], "magnetic_moment_mub_per_cell": 0.000, "e_form_raw_mev_per_atom": -630}


Entry 9:
{"formula": "La2ScTeRh", "functional": "meta-GGA SCAN", "state": "single point on PBEsol structure", "lattice": [[5.6901, 0.0000, 0.0000], [0.0000, 5.6901, 0.0000], [0.0000, 0.0000, 4.4699]], "species": ["La", "La", "Sc", "Te", "Rh"], "frac_coords": [[0.0000, 0.5000, 0.0000], [0.5000, 0.0000, 0.0000], [0.0000, 0.0000, 0.0000], [0.5000, 0.5000, 0.5000], [0.0000, 0.0000, 0.5000]], "magnetic_moment_mub_per_cell": 0.001, "e_form_raw_mev_per_atom": -91}


Entry 10:
{"formula": "Si2PIr", "functional": "meta-GGA SCAN", "state": "single point on PBEsol structure", "lattice": [[0.0000, 3.0163, 3.0163], [3.0163, 0.0000, 3.0163], [3.0163, 3.0163, 0.0000]], "species": ["Si", "Si", "P", "Ir"], "frac_coords": [[0.2500, 0.2500, 0.2500], [0.7500, 0.7500, 0.7500], [0.0000, 0.0000, 0.0000], [0.5000, 0.5000, 0.5000]], "magnetic_moment_mub_per_cell": 0.000, "e_form_raw_mev_per_atom": 396}


Entry 11:
{"formula": "PrGe2Pt", "functional": "meta-GGA SCAN", "state": "single point on PBEsol structure", "lattice": [[-2.2036, 4.3890, 8.2340], [2.2036, -4.3890, 8.2340], [2.2036, 4.3890, -8.2340]], "species": ["Pr", "Pr", "Pr", "Pr", "Ge", "Ge", "Ge", "Ge", "Ge", "Ge", "Ge", "Ge", "Pt", "Pt", "Pt", "Pt"], "frac_coords": [[0.2032, 0.2032, 0.0000], [0.2444, 0.0000, 0.2444], [0.7556, 0.0000, 0.7556], [0.7968, 0.7968, 0.0000], [0.0743, 0.5743, 0.5000], [0.1515, 0.8020, 0.3495], [0.4251, 0.4251, 0.0000], [0.4525, 0.8020, 0.6505], [0.5475, 0.1980, 0.3495], [0.5749, 0.5749, 0.0000], [0.8485, 0.1980, 0.6505], [0.9257, 0.4257, 0.5000], [0.1025, 0.3506, 0.7519], [0.4013, 0.6494, 0.7519], [0.5987, 0.3506, 0.2481], [0.8975, 0.6494, 0.2481]], "magnetic_moment_mub_per_cell": 0.000, "delta_e_f_mev_per_atom": -1081.4}


Entry 12:
{"formula": "CrWSe4", "functional": "meta-GGA SCAN", "state": "single point on PBEsol structure", "lattice": [[0.0000, 3.8408, 3.8408], [3.8408, 0.0000, 3.8408], [3.8408, 3.8408, 0.0000]], "species": ["Cr", "W", "Se", "Se", "Se", "Se"], "frac_coords": [[0.0000, 0.0000, 0.0000], [0.2500, 0.2500, 0.2500], [0.1255, 0.6248, 0.6248], [0.6248, 0.1255, 0.6248], [0.6248, 0.6248, 0.1255], [0.6248, 0.6248, 0.6248]], "magnetic_moment_mub_per_cell": 1.488, "e_form_raw_mev_per_atom": 1419}


Computed values of calculated density (unit: g/cm3) for the preceding records, in sequence: 8.021, 7.430, 2.722, 11.557, 2.891, 5.910, 8.138, 3.320, 6.348, 8.452, 10.035, 8.084.